No. 1
First-principles (PBE) data for crystalline Dy3Nb3Re2N12 at its relaxed geometry, as listed in OQMD.

Cell: 12.771 12.771 12.771 Å, 90.00 90.00 90.00°
Space group Ia-3d (No. 230)
Unique sites:
Dy (0.000, 0.250, 0.125)
Nb (0.000, 0.250, 0.375)
Re (0.000, 0.000, 0.000)
N (0.029, 0.054, 0.645)

## Properties
Calculated volume (A^3/atom): 13.02
Total DFT energy (no corrections) (eV per cell): -1463.1
Size of the total moment (μB per formula unit): 0.083

=====

No. 2
First-principles (PBE) data for crystalline Dy3Nb3W2N12 at its relaxed geometry, as listed in OQMD.

Cell: 12.804 12.804 12.804 Å, 90.00 90.00 90.00°
Space group Ia-3d (No. 230)
Unique sites:
Dy (0.000, 0.250, 0.125)
Nb (0.000, 0.250, 0.375)
W (0.000, 0.000, 0.000)
N (0.029, 0.054, 0.646)

## Properties
Calculated volume (A^3/atom): 13.12
Total DFT energy (no corrections) (eV per cell): -1504.1
Size of the total moment (μB per formula unit): 0.001

=====

No. 3
First-principles (PBE) data for crystalline Nd2DyN3 at its relaxed geometry, as listed in OQMD.

Cell: 3.5752 3.5752 8.7646 Å, 90.00 90.00 120.00°
Space group P-3m1 (No. 164)
Unique sites:
Nd (0.3333, 0.6667, 0.3288)
Dy (0.0000, 0.0000, 0.0000)
N (0.0000, 0.0000, 0.5000)
N (0.3333, 0.6667, 0.8429)

## Properties
Calculated volume (A^3/atom): 16.17
Total DFT energy (no corrections) (eV per cell): -47.8
Size of the total moment (μB per formula unit): 0.001

=====

No. 4
First-principles (PBE) data for crystalline NdDyNO at its relaxed geometry, as listed in OQMD.

Cell: 4.460 4.460 8.335 Å, 90.00 90.00 90.00°
Space group P4/nmm (No. 129, origin choice 2)
Unique sites:
Nd (0.250, 0.250, 0.104)
Dy (0.250, 0.750, 0.500)
N (0.250, 0.250, 0.569)
O (0.250, 0.750, 0.000)

## Properties
Calculated volume (A^3/atom): 20.73
Total DFT energy (no corrections) (eV per cell): -59.3
Size of the total moment (μB per formula unit): 0.000

=====

No. 5
First-principles (PBE) data for crystalline NdDyNO at its relaxed geometry, as listed in OQMD.

Cell: 4.978 4.978 4.922 Å, 90.00 90.00 90.00°
Space group P4/nmm (No. 129, origin choice 2)
Unique sites:
Nd (0.250, 0.750, 0.000)
Dy (0.250, 0.250, 0.500)
N (0.250, 0.250, 0.003)
O (0.250, 0.750, 0.500)

## Properties
Calculated volume (A^3/atom): 15.25
Total DFT energy (no corrections) (eV per cell): -62.6
Size of the total moment (μB per formula unit): 0.000

=====

No. 6
First-principles (PBE) data for crystalline NdDyNO at its relaxed geometry, as listed in OQMD.

Cell: 8.222 6.728 5.105 Å, 90.00 90.00 90.00°
Space group Pbcm (No. 57)
Unique sites:
Nd (0.130, 0.079, 0.250)
Dy (0.380, 0.574, 0.250)
N (0.135, 0.063, 0.750)
O (0.382, 0.597, 0.750)

## Properties
Calculated volume (A^3/atom): 17.65
Total DFT energy (no corrections) (eV per cell): -123.7
Size of the total moment (μB per formula unit): 0.001

=====

Copy entry 6 word for word.
First-principles (PBE) data for crystalline NdDyNO at its relaxed geometry, as listed in OQMD.

Cell: 8.222 6.728 5.105 Å, 90.00 90.00 90.00°
Space group Pbcm (No. 57)
Unique sites:
Nd (0.130, 0.079, 0.250)
Dy (0.380, 0.574, 0.250)
N (0.135, 0.063, 0.750)
O (0.382, 0.597, 0.750)

## Properties
Calculated volume (A^3/atom): 17.65
Total DFT energy (no corrections) (eV per cell): -123.7
Size of the total moment (μB per formula unit): 0.001

=====

Q: What is the total DFT energy (no corrections) in the second record?
A: -1504.1 eV per cell